[1]
GGA-PBE Tm2Al2Co5Si, optimized geometry; electronic total energy = -6.0471 eV/atom; N(E_F) = 9.50 states/eV per cell; ΔE_f (raw) = -309.0 meV per atom; crystal system = tetragonal
1.0
-2.501 -0.417 1.667
4.503 -6.938 5.019
3.121 6.610 6.338
Al Co Tm Si
4 10 4 2
direct
0.000 0.871 0.371 Al
0.000 0.371 0.129 Al
0.000 0.629 0.871 Al
0.000 0.129 0.629 Al
0.500 0.000 0.500 Co
0.500 0.944 0.190 Co
0.500 0.310 0.556 Co
0.500 0.500 0.000 Co
0.500 0.444 0.310 Co
0.500 0.810 0.944 Co
0.500 0.190 0.056 Co
0.500 0.690 0.444 Co
0.500 0.056 0.810 Co
0.500 0.556 0.690 Co
0.000 0.829 0.671 Tm
0.000 0.171 0.329 Tm
0.000 0.671 0.171 Tm
0.000 0.329 0.829 Tm
0.000 0.500 0.500 Si
0.000 0.000 0.000 Si

[2]
GGA-PBE BaCaW, optimized geometry; polymorph energy (0 for the lowest one) = 0.0 meV per atom; electronic total energy = -4.5166 eV/atom; N(E_F) = 2.87 states/eV per cell; crystal system = tetragonal
1.0
-5.687 -1.375 6.725
-7.127 -3.053 4.399
1.195 -2.716 1.221
Ca Ba W
1 1 1
direct
0.303 0.303 0.697 Ca
0.023 0.023 0.977 Ba
0.674 0.674 0.326 W

[3]
GGA-PBE PrThHgOs, optimized geometry; polymorph energy (0 for the lowest one) = 0.0 meV per atom; electronic total energy = -6.1756 eV/atom; N(E_F) = 3.15 states/eV per cell; crystal system = trigonal
1.0
-3.087 -2.852 -0.182
2.092 0.606 3.598
-3.708 7.061 0.967
Hg Os Pr Th
1 1 1 1
direct
0.968 0.382 0.365 Hg
0.310 0.553 0.878 Os
0.502 0.149 0.667 Pr
0.098 0.947 0.059 Th